Record 1
Compound: Sc3BiB
Source: the Alexandria database
Functional: PBEsol
Structure: optimized geometry

The structure belongs to space group Pm-3m (No. 221); the cell edges are 4.6327, 4.6327 and 4.6327 Å and the angles 90.00°, 90.00° and 90.00°. The distinct sites, in fractional coordinates, are Sc at (0.0000, 0.0000, 0.5000), Bi at (0.5000, 0.5000, 0.5000) and B at (0.0000, 0.0000, 0.0000).

Record 2
Compound: AlAuN2F
Source: the Alexandria database
Functional: PBEsol
Structure: optimized geometry

For the energy relative to the elements, uncorrected, the calculation gives -34 meV per atom.

The structure belongs to space group P4/mmm (No. 123); the cell edges are 3.8840, 3.8840 and 3.4806 Å and the angles 90.00°, 90.00° and 90.00°. The distinct sites, in fractional coordinates, are Al at (0.0000, 0.0000, 0.0000), Au at (0.5000, 0.5000, 0.5000), N at (0.0000, 0.5000, 0.0000) and F at (0.0000, 0.0000, 0.5000).

Record 3
Compound: BaTiZnF2
Source: the Alexandria database
Functional: PBEsol
Structure: optimized geometry

For the energy relative to the elements, uncorrected, the calculation gives -995 meV per atom.

The structure belongs to space group P4/mmm (No. 123); the cell edges are 4.7389, 4.7389 and 6.9213 Å and the angles 90.00°, 90.00° and 90.00°. The distinct sites, in fractional coordinates, are Ba at (0.0000, 0.0000, 0.0000), Ti at (0.5000, 0.5000, 0.5000), Zn at (0.0000, 0.0000, 0.5000) and F at (0.0000, 0.5000, 0.0000).

Record 4
Compound: LaPS2Cl
Source: the Alexandria database
Functional: PBEsol
Structure: optimized geometry

For the energy above the most stable polymorph in this dataset, the calculation gives 0 meV per atom. For the energy relative to the elements, uncorrected, the calculation gives -60 meV per atom.

The structure belongs to space group P4/mmm (No. 123); the cell edges are 5.5375, 5.5375 and 5.3487 Å and the angles 90.00°, 90.00° and 90.00°. The distinct sites, in fractional coordinates, are La at (0.0000, 0.0000, 0.0000), P at (0.5000, 0.5000, 0.5000), S at (0.0000, 0.5000, 0.0000) and Cl at (0.0000, 0.0000, 0.5000).

Electronic total energy per entry: -6.829 -5.433 -4.177 -4.443 eV/atom